# 1
Material: K4HoNp3O12
Method: DFT, PBE-GGA
State: relaxed

Cell: 7.4299 7.4299 7.4299 Å, 109.47 109.47 109.47°
With the nearest neighbours (Å) after each atom.
Element x y z (fractional)
1 K 0.0000 0.0000 0.5000  12 O 3.03-3.04
2 K 0.0000 0.5000 0.0000  12 O 3.03-3.04
3 K 0.5000 0.0000 0.0000  12 O 3.03-3.04
4 K 0.5000 0.5000 0.5000  12 O 3.03-3.04
5 Ho 0.0000 0.0000 0.0000  6 O 2.27
6 Np 0.0000 0.5000 0.5000  6 O 2.02-2.14
7 Np 0.5000 0.0000 0.5000  6 O 2.02-2.14
8 Np 0.5000 0.5000 0.0000  6 O 2.02-2.14
9 O 0.0000 0.2648 0.2648  1 Np 2.02
10 O 0.0000 0.7352 0.7352  1 Np 2.02
11 O 0.2500 0.5000 0.7500  2 Np 2.14
12 O 0.2500 0.7500 0.5000  2 Np 2.14
13 O 0.2648 0.0000 0.2648  1 Np 2.02
14 O 0.2648 0.2648 0.0000  1 Np 2.02
15 O 0.5000 0.2500 0.7500  2 Np 2.14
16 O 0.5000 0.7500 0.2500  2 Np 2.14
17 O 0.7352 0.0000 0.7352  1 Np 2.02
18 O 0.7352 0.7352 0.0000  1 Np 2.02
19 O 0.7500 0.2500 0.5000  2 Np 2.14
20 O 0.7500 0.5000 0.2500  2 Np 2.14

Space-group type: No. 229



# 2
Material: K2Ho2NpS6
Method: DFT, PBE-GGA
State: relaxed

Cell: 6.9300 6.9300 7.8793 Å, 98.57 98.57 119.92°
With the nearest neighbours (Å) after each atom.
Element x y z (fractional)
1 K 0.1687 0.8313 0.0000  6 S 3.25-3.26
2 K 0.8313 0.1687 0.0000  6 S 3.25-3.26
3 Ho 0.3337 0.6663 0.5000  6 S 2.74-2.76
4 Ho 0.6663 0.3337 0.5000  6 S 2.74-2.76
5 Np 0.0000 0.0000 0.5000  6 S 2.70-2.72
6 S 0.0635 0.3947 0.6945  1 Np 2.72, 2 Ho 2.74-2.76
7 S 0.2613 0.2613 0.3057  1 Np 2.70, 2 Ho 2.75
8 S 0.3947 0.0635 0.6945  1 Np 2.72, 2 Ho 2.74-2.76
9 S 0.6053 0.9365 0.3055  1 Np 2.72, 2 Ho 2.74-2.76
10 S 0.7387 0.7387 0.6943  1 Np 2.70, 2 Ho 2.75
11 S 0.9365 0.6053 0.3055  1 Np 2.72, 2 Ho 2.74-2.76

Space-group type: No. 12



# 3
Material: K4Ho3NpS8
Method: DFT, PBE-GGA
State: relaxed

Cell: 8.7275 8.7275 8.7275 Å, 55.42 55.42 55.42°
With the nearest neighbours (Å) after each atom.
Element x y z (fractional)
1 K 0.0000 0.0000 0.0000  6 S 3.19
2 K 0.0000 0.5000 0.5000  6 S 3.21-3.22
3 K 0.5000 0.0000 0.5000  6 S 3.21-3.22
4 K 0.5000 0.5000 0.0000  6 S 3.21-3.22
5 Ho 0.0000 0.0000 0.5000  6 S 2.76-2.77
6 Ho 0.0000 0.5000 0.0000  6 S 2.76-2.77
7 Ho 0.5000 0.0000 0.0000  6 S 2.76-2.77
8 Np 0.5000 0.5000 0.5000  6 S 2.80
9 S 0.2296 0.7358 0.7358  2 Ho 2.76, 1 Np 2.80
10 S 0.2337 0.2337 0.2337  3 Ho 2.77
11 S 0.2642 0.2642 0.7704  2 Ho 2.76, 1 Np 2.80
12 S 0.2642 0.7704 0.2642  2 Ho 2.76, 1 Np 2.80
13 S 0.7358 0.2296 0.7358  2 Ho 2.76, 1 Np 2.80
14 S 0.7358 0.7358 0.2296  2 Ho 2.76, 1 Np 2.80
15 S 0.7663 0.7663 0.7663  3 Ho 2.77
16 S 0.7704 0.2642 0.2642  2 Ho 2.76, 1 Np 2.80

Space-group type: No. 166



| no. | formation energy from raw total energies (meV/atom) | uncorrected energy (eV for the cell shown) |
| --- | --- | --- |
| 1 | -2739 | -162.1 |
| 2 | -1723 | -68.0 |
| 3 | -1754 | -92.1 |